## one
Entry from Alexandria: a relaxed NbCuIO2 crystal (PBE-GGA).

extended XYZ file:
```
5
Lattice="3.933 0.000 0.000 0.000 3.933 0.000 0.000 0.000 6.178" Properties=species:S:1:pos:R:3 pbc="T T T"
I 0.000 0.000 3.089
Nb 0.000 0.000 0.000
O 0.000 1.967 0.000
O 1.967 0.000 0.000
Cu 1.967 1.967 3.089
```

Values from the calculation:
V: 96 Å³ per cell

## two
Entry from Alexandria: a relaxed NbCuIO2 crystal (PBE-GGA).

extended XYZ file:
```
5
Lattice="4.015 0.000 0.000 0.000 4.015 0.000 0.000 0.000 4.950" Properties=species:S:1:pos:R:3 pbc="T T T"
I 0.000 0.000 2.475
Nb 2.008 2.008 2.475
O 0.000 2.008 0.000
O 2.008 0.000 0.000
Cu 0.000 0.000 0.000
```

Values from the calculation:
V: 80 Å³ per cell

Verdict on stability: two comes out at the bottom.

## one
Entry from Alexandria: a relaxed NbCuSbI2 crystal (PBE-GGA).

extended XYZ file:
```
5
Lattice="5.265 0.000 0.000 0.000 5.265 0.000 0.000 0.000 5.126" Properties=species:S:1:pos:R:3 pbc="T T T"
I 0.000 2.633 0.000
I 2.633 0.000 0.000
Sb 0.000 0.000 2.563
Nb 2.633 2.633 2.563
Cu 0.000 0.000 0.000
```

Values from the calculation:
V: 142 Å³ per cell

## two
Entry from Alexandria: a relaxed NbCuSbI2 crystal (PBE-GGA).

extended XYZ file:
```
5
Lattice="-2.303 -4.635 -1.831 4.616 -2.744 1.142 -1.891 -1.067 5.079" Properties=species:S:1:pos:R:3 pbc="T T T"
I 2.308 -1.372 0.571
I -1.151 -2.318 -0.916
Sb -0.945 -0.534 2.539
Nb 0.000 0.000 0.000
Cu 0.211 -4.224 2.195
```

Values from the calculation:
V: 166 Å³ per cell

Verdict on stability: one comes out at the bottom.

## one
Entry from Alexandria: a relaxed Rb2NdCuI6 crystal (PBE-GGA).

extended XYZ file:
```
20
Lattice="-7.759 1.726 3.788 -4.232 0.071 -8.701 -2.007 -10.507 0.890" Properties=species:S:1:pos:R:3 pbc="T T T"
Rb -4.543 -2.559 -7.577
Rb -8.092 -6.972 -2.496
Rb -9.455 -6.150 3.554
Rb -5.906 -1.737 -1.528
Nd -3.880 0.863 1.894
Nd -3.119 -5.218 -3.906
Cu -4.883 -4.390 2.339
Cu -2.116 0.036 -4.351
I -5.711 0.098 -5.014
I -10.812 -4.289 -3.124
I -8.287 -8.807 0.991
I -3.186 -4.420 -0.899
I -6.010 -4.167 -4.298
I -11.588 -8.545 -3.388
I -7.988 -4.543 0.274
I -2.410 -0.164 -0.636
I -9.633 -0.660 -1.004
I -8.634 -6.745 -6.313
I -4.365 -8.049 -3.020
I -5.364 -1.964 2.290
```

Values from the calculation:
V: 915 Å³ per cell

## two
Entry from Alexandria: a relaxed Rb2NdCuI6 crystal (PBE-GGA).

extended XYZ file:
```
10
Lattice="-1.422 1.541 -8.211 2.486 -5.600 -5.855 -5.765 -4.550 -4.229" Properties=species:S:1:pos:R:3 pbc="T T T"
Rb -3.526 -6.457 -13.721
Rb -1.175 -2.152 -4.574
Nd -2.350 -4.305 -9.147
Cu 0.000 0.000 0.000
I -1.869 -1.270 -8.661
I -4.123 -4.432 -6.594
I -2.832 -7.339 -9.633
I 0.160 -4.977 -7.438
I -4.861 -3.632 -10.856
I -0.578 -4.177 -11.700
```

Values from the calculation:
V: 430 Å³ per cell

Verdict on stability: two comes out at the bottom.